# MgCr2Ni | the Alexandria database | PBE | optimized geometry
# Calculated volume = 155.9 Å³/cell
# ΔE_f = 45.9 kJ per mole of atoms
# Size of the total moment = 0.00 μB/f.u.
data_MgCr2Ni
_chemical_formula_sum 'Mg3 Cr6 Ni3'
_symmetry_space_group_name_H-M 'R -3 m'
_symmetry_Int_Tables_number 166
_symmetry_space_group_name_Hall '-R 3 2"'
_cell_length_a 2.6031
_cell_length_b 2.6031
_cell_length_c 26.5647
_cell_angle_alpha 90.00
_cell_angle_beta 90.00
_cell_angle_gamma 120.00
loop_
_atom_site_label
_atom_site_type_symbol
_atom_site_fract_x
_atom_site_fract_y
_atom_site_fract_z
Mg1 Mg 0.0000 0.0000 0.0000
Cr1 Cr 0.0000 0.0000 0.2428
Ni1 Ni 0.0000 0.0000 0.5000

---

# Mo2As3 | the Alexandria database | PBE | optimized geometry
# E above lowest polymorph = 149 kJ/mol of formula units
# Calculated volume = 256.1 Å³/cell
# ΔE_f = 2.4 kJ per mole of atoms
# Size of the total moment = 0.00 μB/f.u.
data_Mo2As3
_chemical_formula_sum 'Mo6 As9'
_symmetry_space_group_name_H-M 'R -3 m'
_symmetry_Int_Tables_number 166
_symmetry_space_group_name_Hall '-R 3 2"'
_cell_length_a 3.2108
_cell_length_b 3.2108
_cell_length_c 28.6875
_cell_angle_alpha 90.00
_cell_angle_beta 90.00
_cell_angle_gamma 120.00
loop_
_atom_site_label
_atom_site_type_symbol
_atom_site_fract_x
_atom_site_fract_y
_atom_site_fract_z
Mo1 Mo 0.0000 0.0000 0.1008
As1 As 0.0000 0.0000 0.2938
As2 As 0.0000 0.0000 0.5000

---

# KZn2Co | the Alexandria database | PBE | optimized geometry
# E above lowest polymorph = 31 kJ/mol of formula units
# Calculated volume = 83.7 Å³/cell
# ΔE_f = 34.6 kJ per mole of atoms
# Size of the total moment = 1.12 μB/f.u.
data_KZn2Co
_chemical_formula_sum 'K1 Zn2 Co1'
_symmetry_space_group_name_H-M 'P m m 2'
_symmetry_Int_Tables_number 25
_symmetry_space_group_name_Hall 'P 2 -2'
_cell_length_a 2.7822
_cell_length_b 3.9249
_cell_length_c 7.6673
_cell_angle_alpha 90.00
_cell_angle_beta 90.00
_cell_angle_gamma 90.00
loop_
_atom_site_label
_atom_site_type_symbol
_atom_site_fract_x
_atom_site_fract_y
_atom_site_fract_z
K1 K 0.0000 0.0000 0.0000
Zn1 Zn 0.0000 0.0000 0.5738
Zn2 Zn 0.5000 0.5000 0.3418
Co1 Co 0.5000 0.5000 0.6557

---

Question: size of the total moment of number 3 (KZn2Co)?
Answer: 1.12 μB/f.u.